(1)
# TaBe8Os3

A geometry-optimized TaBe8Os3 structure (PBE-GGA, Alexandria via LeMat-Bulk).

Unit cell a=4.4013 b=4.4013 c=7.2057 alpha=90.00 beta=90.00 gamma=120.00
Space group P3m1 (No. 156)
Symmetry-distinct sites (fractional):
Ta1 0.0000 0.0000 0.0000 (multiplicity 1)
Be1 0.1655 0.3309 0.6777 (multiplicity 3)
Be2 0.3333 0.6667 0.4400 (multiplicity 1)
Be3 0.3333 0.6667 0.9318 (multiplicity 1)
Be4 0.5033 0.0066 0.1982 (multiplicity 3)
Os1 0.0000 0.0000 0.3678 (multiplicity 1)
Os2 0.6667 0.3333 0.4990 (multiplicity 1)
Os3 0.6667 0.3333 0.8818 (multiplicity 1)

Results
DOS at the Fermi energy in states/eV/cell: 5.36
Formation energy in eV/atom: -0.377
Total magnetic moment in μB/atom: 0.00

=====

(2)
# RbCd2BiIr

A geometry-optimized RbCd2BiIr structure (PBE-GGA, Alexandria via LeMat-Bulk).

Unit cell a=5.388 b=5.388 c=5.310 alpha=90.00 beta=90.00 gamma=90.00
Space group P4/mmm (No. 123)
Symmetry-distinct sites (fractional):
Rb1 0.000 0.000 0.000 (multiplicity 1)
Cd1 0.000 0.500 0.500 (multiplicity 2)
Bi1 0.500 0.500 0.000 (multiplicity 1)
Ir1 0.500 0.500 0.500 (multiplicity 1)

Results
DOS at the Fermi energy in states/eV/cell: 3.68
Formation energy in eV/atom: 0.010
Total magnetic moment in μB/atom: 0.00

=====

(3)
# Sr2AlSe

A geometry-optimized Sr2AlSe structure (PBE-GGA, Alexandria via LeMat-Bulk).

Unit cell a=7.878 b=7.878 c=7.878 alpha=90.00 beta=90.00 gamma=90.00
Space group Fm-3m (No. 225)
Symmetry-distinct sites (fractional):
Sr1 0.250 0.250 0.250 (multiplicity 8)
Al1 0.000 0.000 0.000 (multiplicity 4)
Se1 0.000 0.000 0.500 (multiplicity 4)

Results
DOS at the Fermi energy in states/eV/cell: 18.30
Formation energy from raw total energies in kJ/mol of atoms: -54.7
Total magnetic moment in μB/atom: 0.00

=====

(4)
# CuOs2Ru

A geometry-optimized CuOs2Ru structure (PBE-GGA, Alexandria via LeMat-Bulk).

Unit cell a=6.072 b=6.072 c=6.072 alpha=90.00 beta=90.00 gamma=90.00
Space group F-43m (No. 216)
Symmetry-distinct sites (fractional):
Cu1 0.000 0.000 0.000 (multiplicity 4)
Os1 0.000 0.000 0.500 (multiplicity 4)
Os2 0.250 0.250 0.750 (multiplicity 4)
Ru1 0.250 0.250 0.250 (multiplicity 4)

Results
DOS at the Fermi energy in states/eV/cell: 18.57
Formation energy in eV/atom: 0.525
Total magnetic moment in μB/atom: 0.08

=====

(5)
# Mg2TcI

A geometry-optimized Mg2TcI structure (PBE-GGA, Alexandria via LeMat-Bulk).

Unit cell a=7.943 b=7.943 c=5.873 alpha=90.00 beta=90.00 gamma=90.00
Space group I-42d (No. 122)
Symmetry-distinct sites (fractional):
Mg1 0.225 0.750 0.125 (multiplicity 8)
Tc1 0.000 0.000 0.000 (multiplicity 4)
I1 0.000 0.000 0.500 (multiplicity 4)

Results
DOS at the Fermi energy in states/eV/cell: 10.99
Formation energy from raw total energies in kJ/mol of atoms: 64.3
Total magnetic moment in μB/atom: 0.50

=====

(6)
# ZrTl2Cl

A geometry-optimized ZrTl2Cl structure (PBE-GGA, Alexandria via LeMat-Bulk).

Unit cell a=6.622 b=8.951 c=3.272 alpha=90.00 beta=90.00 gamma=90.00
Space group Cmmm (No. 65)
Symmetry-distinct sites (fractional):
Zr1 0.000 0.000 0.000 (multiplicity 2)
Tl1 0.250 0.250 0.500 (multiplicity 4)
Cl1 0.000 0.500 0.000 (multiplicity 2)

Results
DOS at the Fermi energy in states/eV/cell: 5.35
Formation energy from raw total energies in kJ/mol of atoms: -19.5
Total magnetic moment in μB/atom: 0.00

=====

(7)
# ScTaTi2

A geometry-optimized ScTaTi2 structure (PBE-GGA, Alexandria via LeMat-Bulk).

Unit cell a=2.9982 b=2.9982 c=29.5157 alpha=90.00 beta=90.00 gamma=120.00
Space group R-3m (No. 166, hexagonal axes)
Symmetry-distinct sites (fractional):
Sc1 0.0000 0.0000 0.0000 (multiplicity 3)
Ta1 0.0000 0.0000 0.5000 (multiplicity 3)
Ti1 0.0000 0.0000 0.2457 (multiplicity 6)

Results
DOS at the Fermi energy in states/eV/cell: 23.23
Formation energy in eV/atom: 0.178
Total magnetic moment in μB/atom: 0.00

=====

Volume for every record listed, in sequence, given in Å³/cell: 121 154 489 224 371 194 230.